Run one
BaMo2Pt: relaxed, GGA-PBE.

a = 3.2933 Å, b = 3.2933 Å, c = 7.9947 Å
α = 90.00°, β = 90.00°, γ = 90.00°
With the nearest neighbours (Å) after each atom.
Space group P4mm (No. 99)
Inequivalent atoms, fractional coordinates:
Ba 0.0000 0.0000 0.0000 (multiplicity 1)  4 Ba 3.29, 4 Pt 3.34, 4 Mo 3.62
Mo 0.0000 0.0000 0.4993 (multiplicity 1)  4 Mo 2.63, 4 Pt 2.83
Mo 0.5000 0.5000 0.3459 (multiplicity 1)  4 Mo 2.63, 1 Pt 2.83
Pt 0.5000 0.5000 0.7005 (multiplicity 1)  5 Mo 2.83

***

Run two
BaMo2Pt: relaxed, GGA-PBE.

a = 9.1306 Å, b = 3.3111 Å, c = 6.7861 Å
α = 90.00°, β = 104.55°, γ = 90.00°
With the nearest neighbours (Å) after each atom.
Space group Cm (No. 8)
Inequivalent atoms, fractional coordinates:
Ba 0.0000 0.0000 0.0000 (multiplicity 2)  3 Pt 3.29-3.41, 2 Ba 3.31, 1 Mo 3.63
Mo 0.0005 0.5000 0.4903 (multiplicity 2)  2 Mo 2.42, 2 Pt 2.71
Mo 0.1973 0.0000 0.5979 (multiplicity 2)  2 Mo 2.42, 2 Pt 2.69
Pt 0.2679 0.5000 0.3237 (multiplicity 2)  5 Mo 2.69-2.94

***

Run three
BaMo2Pt: relaxed, GGA-PBE.

a = 5.7147 Å, b = 10.4466 Å, c = 2.8661 Å
α = 90.00°, β = 109.71°, γ = 90.00°
With the nearest neighbours (Å) after each atom.
Space group C2/m (No. 12)
Inequivalent atoms, fractional coordinates:
Ba 0.0000 0.0000 0.0000 (multiplicity 2)  2 Pt 2.86, 2 Ba 2.87, 4 Mo 3.09
Mo 0.2500 0.2500 0.5000 (multiplicity 4)  4 Mo 2.86-2.87, 2 Ba 3.09, 2 Pt 3.09
Pt 0.0000 0.5000 0.0000 (multiplicity 2)  2 Ba 2.86, 2 Pt 2.87, 4 Mo 3.09

***

Run four
BaMo2Pt: relaxed, GGA-PBE.

a = 3.3884 Å, b = 4.8656 Å, c = 6.2226 Å
α = 90.00°, β = 102.66°, γ = 90.00°
With the nearest neighbours (Å) after each atom.
Space group P2/m (No. 10)
Inequivalent atoms, fractional coordinates:
Ba 0.0000 0.0000 0.0000 (multiplicity 1)  2 Pt 3.20, 2 Ba 3.39
Mo 0.2903 0.5000 0.6361 (multiplicity 2)  2 Mo 2.30-2.44
Pt 0.5000 0.0000 0.5000 (multiplicity 1)  4 Mo 2.72

***

It is run one that is most stable; the runner-up trails by 122 meV/atom.

***

Run one
Ba2MoPt: relaxed, GGA-PBE.

a = 7.6803 Å, b = 7.6803 Å, c = 7.6803 Å
α = 90.00°, β = 90.00°, γ = 90.00°
With the nearest neighbours (Å) after each atom.
Space group F-43m (No. 216)
Inequivalent atoms, fractional coordinates:
Ba 0.0000 0.0000 0.0000 (multiplicity 4)  4 Ba 3.33, 4 Pt 3.33
Ba 0.2500 0.2500 0.2500 (multiplicity 4)  4 Mo 3.33, 4 Ba 3.33
Mo 0.0000 0.0000 0.5000 (multiplicity 4)  4 Pt 3.33, 4 Ba 3.33
Pt 0.2500 0.2500 0.7500 (multiplicity 4)  4 Ba 3.33, 4 Mo 3.33

***

Run two
Ba2MoPt: relaxed, GGA-PBE.

a = 11.9339 Å, b = 11.9339 Å, c = 4.9378 Å
α = 90.00°, β = 90.00°, γ = 90.00°
With the nearest neighbours (Å) after each atom.
Space group I-42d (No. 122)
Inequivalent atoms, fractional coordinates:
Ba 0.0803 0.2500 0.1250 (multiplicity 8)  2 Pt 3.19
Mo 0.0000 0.0000 0.5000 (multiplicity 4)  2 Pt 2.47
Pt 0.0000 0.0000 0.0000 (multiplicity 4)  2 Mo 2.47

***

It is run two that is most stable; the runner-up trails by 249 meV/atom.

***

Run one
Ba2MoPt: relaxed, GGA-PBE.

a = 4.2926 Å, b = 5.2146 Å, c = 12.0823 Å
α = 90.00°, β = 90.00°, γ = 90.00°
With the nearest neighbours (Å) after each atom.
Space group Imm2 (No. 44)
Inequivalent atoms, fractional coordinates:
Ba 0.0000 0.0000 0.0000 (multiplicity 2)  2 Mo 3.44, 4 Pt 3.55, 2 Ba 3.75
Ba 0.0000 0.5000 0.2235 (multiplicity 2)  2 Pt 3.44, 4 Mo 3.55, 2 Ba 3.75
Mo 0.0000 0.5000 0.8137 (multiplicity 2)  2 Pt 2.44
Pt 0.0000 0.0000 0.4094 (multiplicity 2)  2 Mo 2.44

***

Run two
Ba2MoPt: relaxed, GGA-PBE.

a = 4.4628 Å, b = 5.1273 Å, c = 11.6881 Å
α = 90.00°, β = 90.00°, γ = 90.00°
With the nearest neighbours (Å) after each atom.
Space group Amm2 (No. 38)
Inequivalent atoms, fractional coordinates:
Ba 0.0000 0.0000 0.0000 (multiplicity 2)  3 Mo 3.36-3.67, 4 Pt 3.58
Ba 0.5000 0.0000 0.2915 (multiplicity 2)  3 Pt 3.44-3.55, 4 Mo 3.61
Mo 0.0000 0.0000 0.6862 (multiplicity 2)  2 Pt 2.47
Pt 0.5000 0.0000 0.5949 (multiplicity 2)  2 Mo 2.47

***

It is run two that is most stable; the runner-up trails by 86 meV/atom.

***

Run one
BaMoPt3: relaxed, GGA-PBE.

a = 4.9779 Å, b = 4.9779 Å, c = 4.9779 Å
α = 90.00°, β = 90.00°, γ = 90.00°
With the nearest neighbours (Å) after each atom.
Space group Pm-3m (No. 221)
Inequivalent atoms, fractional coordinates:
Ba 0.0000 0.0000 0.0000 (multiplicity 1)  12 Pt 3.52
Mo 0.5000 0.5000 0.5000 (multiplicity 1)  6 Pt 2.49
Pt 0.0000 0.5000 0.5000 (multiplicity 3)  2 Mo 2.49

***

Run two
BaMoPt3: relaxed, GGA-PBE.

a = 5.1823 Å, b = 5.1823 Å, c = 5.1823 Å
α = 90.00°, β = 90.00°, γ = 90.00°
With the nearest neighbours (Å) after each atom.
Space group Pm-3m (No. 221)
Inequivalent atoms, fractional coordinates:
Ba 0.0000 0.0000 0.0000 (multiplicity 1)  6 Pt 2.59
Mo 0.5000 0.5000 0.5000 (multiplicity 1)  12 Pt 3.66
Pt 0.0000 0.0000 0.5000 (multiplicity 3)  2 Ba 2.59

***

It is run one that is most stable; the runner-up trails by 2413 meV/atom.